No. 1
Density functional theory data (PBE) for SiW2Br after structural relaxation.

Cell: 8.515 8.515 8.515 Å, 21.17 21.17 21.17°
Positions (direct):
W 0.001 0.001 0.001
W 0.253 0.253 0.253
Si 0.739 0.739 0.739
Br 0.507 0.507 0.507

magnetic moment: 0.000 μB per cell
formation energy from raw total energies: 0.50 eV per atom
offset from the most stable computed form: 23.8 kJ per mole of atoms

***

No. 2
Density functional theory data (PBE) for Si2WBr after structural relaxation.

Cell: 8.016 8.016 8.016 Å, 23.27 23.27 23.27°
Positions (direct):
Si 0.510 0.510 0.510
Br 0.750 0.750 0.750
W 0.250 0.250 0.250
Si 0.990 0.990 0.990

magnetic moment: 0.000 μB per cell
formation energy from raw total energies: 0.38 eV per atom
offset from the most stable computed form: 7.3 kJ per mole of atoms

***

No. 3
Density functional theory data (PBE) for SiW2Br after structural relaxation.

Cell: 4.143 3.413 6.138 Å, 96.19 90.00 90.00°
Positions (direct):
Br 0.500 0.250 0.250
W 0.000 0.452 0.601
Si 0.500 0.750 0.750
W 0.000 0.048 0.899

magnetic moment: 0.000 μB per cell
formation energy from raw total energies: 0.71 eV per atom
offset from the most stable computed form: 43.4 kJ per mole of atoms

***

No. 4
Density functional theory data (PBE) for Si2WBr after structural relaxation.

Cell: 4.906 4.906 4.906 Å, 131.38 131.38 71.21°
Positions (direct):
Si 0.000 0.000 0.000
Br 0.750 0.250 0.500
Si 0.500 0.500 0.000
W 0.250 0.750 0.500

magnetic moment: 0.001 μB per cell
formation energy from raw total energies: 0.95 eV per atom
offset from the most stable computed form: 61.9 kJ per mole of atoms

***

No. 5
Density functional theory data (PBE) for SiW2Br after structural relaxation.

Cell: 6.010 6.010 6.385 Å, 61.93 61.93 90.00°
Positions (direct):
Br 0.000 0.000 0.000
W 0.375 0.383 0.750
Si 0.500 0.500 0.000
W 0.617 0.125 0.250
W 0.875 0.867 0.750
Si 0.250 0.750 0.500
Br 0.750 0.250 0.500
W 0.133 0.625 0.250

magnetic moment: 0.000 μB per cell
formation energy from raw total energies: 1.64 eV per atom
offset from the most stable computed form: 133.5 kJ per mole of atoms

***

No. 6
Density functional theory data (PBE) for SiW2Br after structural relaxation.

Cell: 3.159 3.269 8.094 Å, 81.97 90.00 90.00°
Positions (direct):
W 0.000 0.042 0.004
Si 0.500 0.594 0.854
Br 0.000 0.387 0.449
W 0.500 0.477 0.193

magnetic moment: 0.000 μB per cell
formation energy from raw total energies: 0.26 eV per atom
offset from the most stable computed form: 0.0 kJ per mole of atoms

***

No. 7
Density functional theory data (PBE) for SiW2Br after structural relaxation.

Cell: 4.723 4.723 4.856 Å, 74.86 74.86 39.22°
Positions (direct):
Br 0.497 0.497 0.517
Si 0.266 0.266 0.160
W 0.996 0.996 0.076
W 0.742 0.742 0.747

magnetic moment: 0.000 μB per cell
formation energy from raw total energies: 0.70 eV per atom
offset from the most stable computed form: 42.3 kJ per mole of atoms

***

No. 8
Density functional theory data (PBE) for Si2WBr after structural relaxation.

Cell: 6.035 6.035 7.178 Å, 65.14 65.14 90.00°
Positions (direct):
Si 0.066 0.625 0.250
Si 0.375 0.316 0.750
Si 0.875 0.934 0.750
Br 0.250 0.750 0.500
W 0.750 0.250 0.500
W 0.000 0.000 0.000
Si 0.684 0.125 0.250
Br 0.500 0.500 0.000

magnetic moment: 0.000 μB per cell
formation energy from raw total energies: 0.94 eV per atom
offset from the most stable computed form: 61.9 kJ per mole of atoms